(1)
FeIrBr2: relaxed, PBE.

Cell: 3.3303 3.3303 8.4010 Å, 90.00 90.00 125.05°
Last column: nearest neighbours and their distance in Å.
Fractional coordinates of all 4 atoms:
Br (0.0000, 0.0000, 0.0120)  2 Fe 2.52, 2 Ir 2.68
Br (0.0000, 0.0000, 0.4880)  2 Fe 2.52, 2 Ir 2.68
Fe (0.5000, 0.5000, 0.2500)  4 Br 2.52
Ir (0.5000, 0.5000, 0.7500)  4 Br 2.68

Results
Energy relative to the elements, uncorrected   86 kJ per mole of atoms
Density of states at the Fermi level   3.9 states/eV/cell
Symmetry   No. 65


(2)
MgSc2Ru: relaxed, PBE.

Cell: 3.2556 3.2556 7.6114 Å, 90.00 90.00 90.00°
Last column: nearest neighbours and their distance in Å.
Fractional coordinates of all 4 atoms:
Mg (0.0000, 0.0000, 0.5494)  4 Ru 2.79, 1 Sc 2.95
Ru (0.5000, 0.5000, 0.7568)  4 Sc 2.68, 4 Mg 2.79
Sc (0.0000, 0.0000, 0.9364)  4 Ru 2.68, 1 Mg 2.95
Sc (0.5000, 0.5000, 0.2574)  4 Mg 3.20, 8 Sc 3.26-3.36

Results
Formation energy from the elements   -0.15 eV per atom
Density of states at the Fermi level   3.9 states/eV/cell
Symmetry   No. 99


(3)
Ba2LiEu: relaxed, PBE.

Cell: 6.5443 6.5443 6.5443 Å, 60.00 60.00 60.00°
Last column: nearest neighbours and their distance in Å.
Fractional coordinates of all 4 atoms:
Eu (0.0000, 0.0000, 0.0000)  8 Ba 4.01
Ba (0.2500, 0.2500, 0.2500)  4 Li 4.01, 4 Eu 4.01
Ba (0.7500, 0.7500, 0.7500)  4 Eu 4.01, 4 Li 4.01
Li (0.5000, 0.5000, 0.5000)  8 Ba 4.01

Results
Formation energy from the elements   0.13 eV per atom
Density of states at the Fermi level   5.7 states/eV/cell
Symmetry   No. 225


(4)
HgPbSe2: relaxed, PBE.

Cell: 6.0068 4.2508 4.2525 Å, 89.99 90.00 90.00°
Last column: nearest neighbours and their distance in Å.
Fractional coordinates of all 4 atoms:
Hg (0.0000, 0.3769, 0.3749)  6 Se 3.00-3.01
Pb (0.5000, 0.8736, 0.8750)  6 Se 3.00-3.01
Se (0.0000, 0.8759, 0.8750)  4 Hg 3.00-3.01, 2 Pb 3.00
Se (0.5000, 0.3736, 0.3751)  2 Hg 3.00, 4 Pb 3.01

Results
Energy relative to the elements, uncorrected   -27 kJ per mole of atoms
Density of states at the Fermi level   0.9 states/eV/cell
Symmetry   No. 25


(5)
CrP2WCl: relaxed, PBE.

Cell: 4.7050 4.7050 4.8697 Å, 90.00 90.00 90.00°
Last column: nearest neighbours and their distance in Å.
Fractional coordinates of all 5 atoms:
Cr (0.5000, 0.5000, 0.5000)  4 Cl 3.33, 8 P 3.39
P (0.0000, 0.5000, 0.0000)  2 W 2.35
P (0.5000, 0.0000, 0.0000)  2 W 2.35
W (0.0000, 0.0000, 0.0000)  4 P 2.35, 2 Cl 2.43
Cl (0.0000, 0.0000, 0.5000)  2 W 2.43

Results
Energy relative to the elements, uncorrected   58 kJ per mole of atoms
Density of states at the Fermi level   3.2 states/eV/cell
Symmetry   No. 123


(6)
Nd4NiNCl2: relaxed, PBE.

Cell: 3.7552 6.8914 7.5767 Å, 107.94 90.00 90.00°
Last column: nearest neighbours and their distance in Å.
Fractional coordinates of all 8 atoms:
Nd (0.5000, 0.2049, 0.1953)  2 N 2.53
Nd (0.5000, 0.7951, 0.8047)  2 N 2.53
Nd (0.0000, 0.2538, 0.7987)  1 N 2.65, 2 Ni 2.67
Nd (0.0000, 0.7462, 0.2013)  1 N 2.65, 2 Ni 2.67
Ni (0.5000, 0.5000, 0.0000)  6 Nd 2.67-2.86
N (0.0000, 0.0000, 0.0000)  6 Nd 2.53-2.65
Cl (0.5000, 0.0000, 0.5000)  6 Nd 3.04-3.05
Cl (0.0000, 0.5000, 0.5000)  6 Nd 3.18-3.22

Results
Energy relative to the elements, uncorrected   -112 kJ per mole of atoms
Density of states at the Fermi level   5.3 states/eV/cell
Symmetry   No. 10


(7)
ZnCdPdRh: relaxed, PBE.

Cell: 4.4567 4.4567 4.4567 Å, 60.00 60.00 60.00°
Last column: nearest neighbours and their distance in Å.
Fractional coordinates of all 4 atoms:
Zn (0.2500, 0.2500, 0.2500)  4 Rh 2.73, 4 Pd 2.73
Rh (0.5000, 0.5000, 0.5000)  4 Cd 2.73, 4 Zn 2.73
Pd (0.0000, 0.0000, 0.0000)  4 Cd 2.73, 4 Zn 2.73
Cd (0.7500, 0.7500, 0.7500)  4 Pd 2.73, 4 Rh 2.73

Results
Formation energy from the elements   -0.33 eV per atom
Density of states at the Fermi level   0.9 states/eV/cell
Symmetry   No. 216


(8)
Rb2GeSbS4: relaxed, PBE.

Cell: 7.4296 7.4296 7.4296 Å, 87.21 121.62 121.62°
Last column: nearest neighbours and their distance in Å.
Fractional coordinates of all 8 atoms:
Rb (0.5000, 0.7500, 0.2500)  4 S 3.37
Rb (0.0000, 0.0000, 0.0000)  4 S 3.43
Ge (0.0000, 0.5000, 0.5000)  4 S 2.38
Sb (0.5000, 0.2500, 0.7500)  4 S 2.63
S (0.6161, 0.3833, 0.4675)  1 Ge 2.38, 1 Sb 2.63
S (0.0842, 0.2328, 0.6167)  1 Ge 2.38, 1 Sb 2.63
S (0.9158, 0.5325, 0.1486)  1 Ge 2.38, 1 Sb 2.63
S (0.3839, 0.8514, 0.7672)  1 Ge 2.38, 1 Sb 2.63

Results
Energy relative to the elements, uncorrected   -55 kJ per mole of atoms
Density of states at the Fermi level   3.9 states/eV/cell
Symmetry   No. 82


(9)
NpZnH6Ru: relaxed, PBE.

Cell: 4.5213 4.5213 4.3930 Å, 90.00 90.00 60.00°
Last column: nearest neighbours and their distance in Å.
Fractional coordinates of all 9 atoms:
Np (0.0000, 0.0000, 0.0000)  12 H 2.45
Zn (0.6666, 0.6667, 0.5000)  6 H 1.87
H (0.0230, 0.4884, 0.2162)  1 Ru 1.74, 1 Zn 1.87, 1 H 1.90
H (0.4884, 0.0230, 0.7838)  1 Ru 1.74, 1 Zn 1.87, 1 H 1.90
H (0.4885, 0.4885, 0.7838)  1 Ru 1.74, 1 Zn 1.87, 1 H 1.90
H (0.0230, 0.4886, 0.7838)  1 Ru 1.74, 1 Zn 1.87, 1 H 1.90
H (0.4884, 0.4886, 0.2162)  1 Ru 1.74, 1 Zn 1.87, 1 H 1.90
H (0.4885, 0.0230, 0.2162)  1 Ru 1.74, 1 Zn 1.87, 1 H 1.90
Ru (0.3333, 0.3333, 0.5000)  6 H 1.74

Results
Density of states at the Fermi level   11.6 states/eV/cell
Electronic total energy   -4.91 eV/atom
Symmetry   No. 187


(10)
K3Y2PuSe6: relaxed, PBE.

Cell: 7.3616 7.3616 8.0451 Å, 98.77 98.77 120.00°
Last column: nearest neighbours and their distance in Å.
Fractional coordinates of all 12 atoms:
K (0.1664, 0.8336, 0.5000)  6 Se 3.32-3.34
K (0.8336, 0.1664, 0.5000)  6 Se 3.32-3.34
K (0.5000, 0.5000, 0.5000)  6 Se 3.31-3.34
Y (0.3334, 0.6666, 0.0000)  6 Se 2.90
Y (0.6666, 0.3334, 0.0000)  6 Se 2.90
Pu (0.0000, 0.0000, 0.0000)  6 Se 2.94
Se (0.9315, 0.5946, 0.7946)  2 Y 2.90, 1 Pu 2.94
Se (0.7316, 0.7316, 0.2056)  2 Y 2.90, 1 Pu 2.94
Se (0.0685, 0.4054, 0.2054)  2 Y 2.90, 1 Pu 2.94
Se (0.5946, 0.9315, 0.7946)  2 Y 2.90, 1 Pu 2.94
Se (0.2684, 0.2684, 0.7944)  2 Y 2.90, 1 Pu 2.94
Se (0.4054, 0.0685, 0.2054)  2 Y 2.90, 1 Pu 2.94

Results
Energy relative to the elements, uncorrected   -160 kJ per mole of atoms
Density of states at the Fermi level   12.8 states/eV/cell
Symmetry   No. 12


(11)
Er8Pt2Rh: relaxed, PBE.

Cell: 4.9538 6.7181 8.9254 Å, 104.88 106.11 90.00°
Last column: nearest neighbours and their distance in Å.
Fractional coordinates of all 11 atoms:
Er (0.4082, 0.5523, 0.8164)  1 Rh 3.00, 2 Pt 3.26
Er (0.6650, 0.9696, 0.3299)  3 Pt 2.81-3.09, 1 Rh 2.89
Er (0.7956, 0.6845, 0.5913)  3 Pt 2.79-3.12
Er (0.9681, 0.2124, 0.9363)  1 Pt 2.85, 2 Rh 2.98
Er (0.2044, 0.3155, 0.4087)  3 Pt 2.79-3.12
Er (0.3350, 0.0304, 0.6701)  3 Pt 2.81-3.09, 1 Rh 2.89
Er (0.5918, 0.4477, 0.1836)  1 Rh 3.00, 2 Pt 3.26
Er (0.0319, 0.7876, 0.0637)  1 Pt 2.85, 2 Rh 2.98
Pt (0.8111, 0.2815, 0.6223)  7 Er 2.79-3.12
Pt (0.1889, 0.7185, 0.3777)  7 Er 2.79-3.12
Rh (0.5000, 0.0000, 0.0000)  8 Er 2.89-3.00

Results
Formation energy from the elements   -0.68 eV per atom
Density of states at the Fermi level   11.7 states/eV/cell
Symmetry   No. 12


(12)
BaCaCd2Pt: relaxed, PBE.

Cell: 5.4137 5.4137 5.3582 Å, 90.00 90.00 90.00°
Last column: nearest neighbours and their distance in Å.
Fractional coordinates of all 5 atoms:
Ca (0.0000, 0.0000, 0.5000)  2 Pt 2.68
Ba (0.5000, 0.5000, 0.5000)  8 Cd 3.81, 4 Ca 3.83
Pt (0.0000, 0.0000, 0.0000)  2 Ca 2.68, 4 Cd 2.71
Cd (0.0000, 0.5000, 0.0000)  2 Pt 2.71
Cd (0.5000, 0.0000, 0.0000)  2 Pt 2.71

Results
Formation energy from the elements   -0.40 eV per atom
Density of states at the Fermi level   3.6 states/eV/cell
Symmetry   No. 123